## V2CoHPd (PBE-GGA)

Data for V2CoHPd after structural relaxation.

Unit cell a=3.7702 b=3.7702 c=3.7699 alpha=90.00 beta=90.00 gamma=90.00
Element x y z (fractional)
V: 0.0000 0.5000 0.0000
V: 0.5000 0.0000 0.0000
Co: 0.0000 0.0000 0.5000
H: 0.0000 0.0000 0.0000
Pd: 0.5000 0.5000 0.5000

Its total energy is -6.926 eV per atom. The value obtained for the density of states at the Fermi level is 4.109 states/eV/cell. The polymorph energy (0 for the lowest one) is 0 meV/atom.